Density functional theory data (PBE) for a geometry-optimized Dy3Mg7Cd2 structure.

```
Dy3Mg7Cd2
1.0
-1.178 -0.761 -3.290
4.835 -0.380 -1.643
-2.417 -15.821 4.525
Cd Mg Dy
2 7 3
Direct
0.000 0.855 0.709
0.000 0.145 0.291
0.000 0.588 0.175
0.000 0.769 0.539
0.000 0.412 0.825
0.000 0.231 0.461
0.000 0.000 0.000
0.500 0.074 0.148
0.500 0.926 0.852
0.500 0.323 0.646
0.500 0.500 0.000
0.500 0.677 0.354
```

Results
For the total DFT energy (no corrections), the calculation gives -27.9 eV for the cell shown. The calculation puts the formation energy at -2.1 kcal/mol of atoms. Its offset from the most stable computed form is 0.005 eV per atom.